Record 1
Below is an optimized crystal structure of Ag4Br2F, with properties calculated at the PBE level.

Calculated values
Its space group is I4/mmm. The uncorrected formation energy is -158 kJ/mol of formula units. For the total energy, the calculation gives -18.259 eV/cell.

Cell lengths 4.885, 4.885, 7.763 Å; angles 71.66, 71.66, 90.00 degrees
Fractional coordinates of all 7 atoms:
Ag: 0.000 0.500 0.000
Ag: 0.500 0.000 0.000
Ag: 0.830 0.830 0.340
Ag: 0.170 0.170 0.660
Br: 0.358 0.358 0.285
Br: 0.642 0.642 0.715
F: 0.000 0.000 0.000

=====

Record 2
Below is an optimized crystal structure of Ag2BrF, with properties calculated at the PBE level.

Calculated values
Its space group is Pnma. As for the distance to the lowest polymorph of the same formula: 5.9 meV/atom. The uncorrected formation energy is -246 kJ/mol of formula units. For the total energy, the calculation gives -47.205 eV/cell.

Cell lengths 5.448, 8.005, 8.232 Å; angles 90.00, 90.00, 90.00 degrees
Fractional coordinates of all 16 atoms:
Br: 0.443 0.844 0.923
Ag: 0.444 0.642 0.340
Ag: 0.443 0.505 0.854
F: 0.943 0.561 0.871
Br: 0.943 0.156 0.077
F: 0.943 0.061 0.629
Br: 0.443 0.344 0.577
F: 0.443 0.939 0.371
Ag: 0.944 0.858 0.840
Ag: 0.943 0.995 0.354
Ag: 0.943 0.495 0.146
Br: 0.943 0.656 0.423
Ag: 0.944 0.358 0.660
Ag: 0.443 0.005 0.646
F: 0.443 0.439 0.129
Ag: 0.444 0.142 0.160

=====

Record 3
Below is an optimized crystal structure of Ag4Br3F2, with properties calculated at the PBE level.

Calculated values
Its space group is C2/c. As for the distance to the lowest polymorph of the same formula: 0.0 meV/atom. The uncorrected formation energy is -513 kJ/mol of formula units. For the total energy, the calculation gives -50.962 eV/cell.

Cell lengths 7.955, 8.239, 8.239 Å; angles 56.72, 76.02, 76.02 degrees
Fractional coordinates of all 18 atoms:
Ag: 0.357 0.364 0.264
Ag: 0.356 0.068 0.721
Ag: 0.643 0.636 0.736
F: 0.589 0.182 0.435
Br: 0.250 0.464 0.536
F: 0.411 0.818 0.565
Ag: 0.857 0.264 0.364
Br: 0.750 0.536 0.464
Br: 0.480 0.253 0.003
Br: 0.520 0.747 0.997
Ag: 0.144 0.279 0.932
Ag: 0.644 0.932 0.279
Ag: 0.143 0.736 0.636
Ag: 0.856 0.721 0.068
Br: 0.020 0.997 0.747
Br: 0.980 0.003 0.253
F: 0.911 0.565 0.818
F: 0.089 0.435 0.182

=====

Record 4
Below is an optimized crystal structure of Ag4BrF4, with properties calculated at the PBE level.

Calculated values
Its space group is C2/m. The uncorrected formation energy is -767 kJ/mol of formula units. For the total energy, the calculation gives -28.511 eV/cell.

Cell lengths 3.700, 6.217, 7.921 Å; angles 76.40, 76.50, 72.69 degrees
Fractional coordinates of all 9 atoms:
F: 0.295 0.599 0.810
Ag: 0.099 0.658 0.144
Ag: 0.901 0.342 0.856
Ag: 0.278 0.128 0.317
F: 0.125 0.143 0.608
Ag: 0.722 0.872 0.683
F: 0.875 0.857 0.392
Br: 0.500 0.000 0.000
F: 0.705 0.401 0.190

=====

Record 5
Below is an optimized crystal structure of Ag4Br3F2, with properties calculated at the PBE level.

Calculated values
Its space group is C2/c. As for the distance to the lowest polymorph of the same formula: 8.5 meV/atom. The uncorrected formation energy is -505 kJ/mol of formula units. For the total energy, the calculation gives -50.810 eV/cell.

Cell lengths 6.958, 7.602, 7.602 Å; angles 80.09, 89.20, 89.20 degrees
Fractional coordinates of all 18 atoms:
Ag: 0.999 0.270 0.951
Br: 0.445 0.246 0.986
F: 0.396 0.167 0.427
F: 0.896 0.427 0.167
Ag: 0.432 0.559 0.736
Ag: 0.932 0.736 0.559
Ag: 0.501 0.049 0.730
F: 0.604 0.833 0.573
Ag: 0.001 0.730 0.049
Ag: 0.499 0.951 0.270
F: 0.104 0.573 0.833
Br: 0.250 0.596 0.404
Ag: 0.068 0.264 0.441
Ag: 0.568 0.441 0.264
Br: 0.055 0.014 0.754
Br: 0.945 0.986 0.246
Br: 0.750 0.404 0.596
Br: 0.555 0.754 0.014

=====

Record 6
Below is an optimized crystal structure of Ag6Br7F, with properties calculated at the PBE level.

Calculated values
Its space group is Ibam. The uncorrected formation energy is -501 kJ/mol of formula units. For the total energy, the calculation gives -71.768 eV/cell.

Cell lengths 7.203, 10.683, 10.683 Å; angles 85.20, 70.30, 70.30 degrees
Fractional coordinates of all 28 atoms:
Ag: 0.104 0.568 0.804
Br: 0.024 0.334 0.944
F: 0.750 0.250 0.250
Ag: 0.368 0.119 0.881
Br: 0.698 0.944 0.334
Ag: 0.896 0.432 0.196
Ag: 0.132 0.619 0.381
Br: 0.750 0.750 0.750
Br: 0.231 0.426 0.574
F: 0.250 0.750 0.750
Ag: 0.023 0.068 0.304
Ag: 0.523 0.804 0.568
Br: 0.731 0.074 0.926
Ag: 0.632 0.881 0.119
Br: 0.976 0.666 0.056
Br: 0.302 0.056 0.666
Ag: 0.477 0.196 0.432
Br: 0.198 0.834 0.444
Br: 0.476 0.556 0.166
Br: 0.250 0.250 0.250
Ag: 0.604 0.304 0.068
Br: 0.524 0.444 0.834
Ag: 0.977 0.932 0.696
Ag: 0.396 0.696 0.932
Br: 0.269 0.926 0.074
Br: 0.769 0.574 0.426
Br: 0.802 0.166 0.556
Ag: 0.868 0.381 0.619

=====

Record 7
Below is an optimized crystal structure of Ag5Br5F2, with properties calculated at the PBE level.

Calculated values
Its space group is P-1. The uncorrected formation energy is -598 kJ/mol of formula units. For the total energy, the calculation gives -32.562 eV/cell.

Cell lengths 3.803, 6.982, 13.424 Å; angles 59.30, 82.40, 74.65 degrees
Fractional coordinates of all 12 atoms:
F: 0.016 0.736 0.235
Br: 0.749 0.832 0.671
Ag: 0.000 0.000 0.000
Ag: 0.385 0.487 0.743
Br: 0.371 0.278 0.994
Ag: 0.114 0.156 0.619
Ag: 0.886 0.844 0.381
Br: 0.629 0.722 0.006
Br: 0.251 0.168 0.329
Br: 0.500 0.500 0.500
Ag: 0.615 0.513 0.257
F: 0.984 0.264 0.765

=====

Record 8
Below is an optimized crystal structure of Ag5Br4F, with properties calculated at the PBE level.

Calculated values
Its space group is R3m. The uncorrected formation energy is -419 kJ/mol of formula units. For the total energy, the calculation gives -27.164 eV/cell.

Cell lengths 4.356, 4.356, 17.896 Å; angles 83.01, 83.01, 60.00 degrees
Fractional coordinates of all 10 atoms:
Br: 0.557 0.557 0.330
Ag: 0.800 0.800 0.601
Br: 0.344 0.344 0.967
Ag: 0.204 0.204 0.388
Ag: 0.607 0.607 0.178
Ag: 0.396 0.396 0.813
Br: 0.749 0.749 0.754
Br: 0.153 0.153 0.542
Ag: 0.992 0.992 0.023
F: 0.949 0.949 0.154

=====

Record 9
Below is an optimized crystal structure of Ag8Br8F3, with properties calculated at the PBE level.

Calculated values
Its space group is C2/m. The uncorrected formation energy is -850 kJ/mol of formula units. For the total energy, the calculation gives -50.618 eV/cell.

Cell lengths 4.673, 9.925, 12.709 Å; angles 101.69, 100.59, 90.00 degrees
Fractional coordinates of all 19 atoms:
Br: 0.333 0.414 0.665
Ag: 0.507 0.719 0.014
Ag: 0.891 0.926 0.782
Br: 0.949 0.716 0.898
Ag: 0.155 0.457 0.309
Br: 0.667 0.586 0.335
Ag: 0.265 0.172 0.530
F: 0.814 0.745 0.628
Ag: 0.845 0.543 0.691
F: 0.500 0.500 0.000
Ag: 0.735 0.828 0.470
Br: 0.571 0.958 0.141
Br: 0.051 0.284 0.102
Ag: 0.109 0.074 0.218
Br: 0.193 0.925 0.386
Br: 0.429 0.042 0.859
Ag: 0.493 0.281 0.986
Br: 0.807 0.075 0.614
F: 0.186 0.255 0.372

=====

Record 10
Below is an optimized crystal structure of Ag3BrF3, with properties calculated at the PBE level.

Calculated values
Its space group is P-1. As for the distance to the lowest polymorph of the same formula: 0.0 meV/atom. The uncorrected formation energy is -594 kJ/mol of formula units. For the total energy, the calculation gives -44.002 eV/cell.

Cell lengths 3.771, 6.797, 11.250 Å; angles 96.04, 80.49, 73.83 degrees
Fractional coordinates of all 14 atoms:
F: 0.106 0.972 0.822
Br: 0.573 0.545 0.308
Ag: 0.109 0.159 0.624
F: 0.894 0.028 0.178
F: 0.691 0.654 0.963
Ag: 0.891 0.841 0.376
F: 0.268 0.059 0.402
Ag: 0.262 0.240 0.232
Ag: 0.897 0.304 0.900
F: 0.309 0.346 0.037
F: 0.732 0.941 0.598
Ag: 0.738 0.760 0.768
Ag: 0.103 0.696 0.100
Br: 0.427 0.455 0.692

=====

Record 11
Below is an optimized crystal structure of Ag3BrF5, with properties calculated at the PBE level.

Calculated values
Its space group is C2/m. As for the distance to the lowest polymorph of the same formula: 0.0 meV/atom. The uncorrected formation energy is -839 kJ/mol of formula units. For the total energy, the calculation gives -56.566 eV/cell.

Cell lengths 6.430, 6.430, 8.978 Å; angles 71.31, 71.31, 68.02 degrees
Site moments in Bohr magnetons follow the coordinates.
Fractional coordinates of all 18 atoms:
F: 0.068 0.656 0.678  0.01
F: 0.932 0.344 0.322  0.01
F: 0.291 0.709 0.000  0.02
Br: 0.865 0.865 0.307  -0.01
Ag: 0.629 0.629 0.306  -0.01
F: 0.579 0.579 0.673  0.02
Br: 0.135 0.135 0.693  -0.01
Ag: 0.326 0.326 0.160  0.17
F: 0.421 0.421 0.327  0.02
F: 0.709 0.291 0.000  0.02
Ag: 0.674 0.674 0.840  0.17
F: 0.344 0.932 0.322  0.01
Ag: 0.000 0.000 0.500  0.01
Ag: 0.371 0.371 0.694  -0.01
F: 0.759 0.759 0.011  0.06
Ag: 0.000 0.000 0.000  -0.02
F: 0.241 0.241 0.989  0.06
F: 0.656 0.068 0.678  0.01

=====

Record 12
Below is an optimized crystal structure of AgBr2F, with properties calculated at the PBE level.

Calculated values
Its space group is I-42d. As for the distance to the lowest polymorph of the same formula: 382.3 meV/atom. The uncorrected formation energy is -26 kJ/mol of formula units. For the total energy, the calculation gives -16.665 eV/cell.

Cell lengths 5.755, 5.755, 7.890 Å; angles 68.61, 68.61, 90.00 degrees
Site moments in Bohr magnetons follow the coordinates.
Fractional coordinates of all 8 atoms:
Br: 0.875 0.869 0.750  0.50
Ag: 0.750 0.250 0.500  0.18
Br: 0.375 0.381 0.750  0.49
F: 0.500 0.500 0.000  0.54
Ag: 0.000 0.000 0.000  0.18
F: 0.250 0.750 0.500  0.53
Br: 0.131 0.625 0.250  0.49
Br: 0.619 0.125 0.250  0.48